# 1
Entry from the Alexandria database: K2AgMo after structural relaxation (GGA-PBE).

```
data_K2AgMo
_symmetry_space_group_name_H-M 'P 1'
_symmetry_Int_Tables_number 1
_symmetry_space_group_name_Hall 'P 1'
_cell_length_a 5.614
_cell_length_b 5.614
_cell_length_c 5.614
_cell_angle_alpha 60.00
_cell_angle_beta 60.00
_cell_angle_gamma 60.00
loop_
_atom_site_label
_atom_site_fract_x
_atom_site_fract_y
_atom_site_fract_z
Mo1 0.750 0.750 0.750
K1 0.000 0.000 0.000
K2 0.250 0.250 0.250
Ag1 0.500 0.500 0.500
```

Properties
The space-group type is No. 216. The value obtained for the energy above the most stable polymorph in this dataset is 21.2 kJ/mol of atoms.

# 2
Entry from the Alexandria database: TbTaB after structural relaxation (GGA-PBE).

```
data_TbTaB
_symmetry_space_group_name_H-M 'P 1'
_symmetry_Int_Tables_number 1
_symmetry_space_group_name_Hall 'P 1'
_cell_length_a 3.156
_cell_length_b 3.321
_cell_length_c 10.398
_cell_angle_alpha 80.81
_cell_angle_beta 90.00
_cell_angle_gamma 90.00
loop_
_atom_site_label
_atom_site_fract_x
_atom_site_fract_y
_atom_site_fract_z
B1 0.750 0.476 0.048
Ta1 0.750 0.062 0.877
B2 0.250 0.524 0.952
Tb1 0.250 0.672 0.656
Tb2 0.750 0.328 0.344
Ta2 0.250 0.938 0.123
```

Properties
The space-group type is No. 63.

no.,ΔH_f (0 K) (eV/atom)
1,1.12
2,-0.32